No. 1
Density functional theory data (PBE) for a relaxed CdCuHg2 crystal.

Output
Calculated volume ... 20.984 Å³ per atom
Calculated formation energy ... 0.1290 eV/atom
Total magnetization ... 0.000 μB/cell
Calculated density ... 11.42 g/cm3

abc: 3.092 3.092 8.780
angles: 90.00 90.00 90.00
Fractional positions:
1 Cu 0.500 0.500 0.744
2 Hg 0.500 0.500 0.257
3 Cd 0.000 0.000 0.547
4 Hg 0.000 0.000 0.952

No. 2
Density functional theory data (PBE) for a relaxed Cd6CuHg3 crystal.

Output
Calculated volume ... 23.697 Å³ per atom
Calculated formation energy ... 0.0622 eV/atom
Total magnetization ... 0.000 μB/cell
Calculated density ... 9.39 g/cm3

abc: 6.619 7.976 8.979
angles: 90.66 90.00 90.00
Fractional positions:
1 Hg 0.500 0.500 0.000
2 Cd 0.396 0.171 0.439
3 Hg 0.200 0.485 0.283
4 Cd 0.604 0.829 0.561
5 Hg 0.800 0.515 0.717
6 Cd 0.789 0.145 0.766
7 Cu 0.500 0.500 0.500
8 Cu 0.000 0.000 0.000
9 Cd 0.289 0.355 0.734
10 Cd 0.169 0.678 0.581
11 Hg 0.300 0.985 0.783
12 Cd 0.331 0.178 0.081
13 Cd 0.211 0.855 0.234
14 Cd 0.896 0.329 0.061
15 Cd 0.831 0.322 0.419
16 Hg 0.700 0.015 0.217
17 Cd 0.711 0.645 0.266
18 Cd 0.104 0.671 0.939
19 Hg 0.000 0.000 0.500
20 Cd 0.669 0.822 0.919

No. 3
Density functional theory data (PBE) for a relaxed CdCuHg2 crystal.

Output
Calculated volume ... 21.796 Å³ per atom
Calculated formation energy ... 0.0831 eV/atom
Total magnetization ... 0.000 μB/cell
Calculated density ... 10.99 g/cm3

abc: 6.985 6.985 6.985
angles: 155.82 141.22 46.23
Fractional positions:
1 Hg 0.060 0.060 0.000
2 Hg 0.751 0.251 0.500
3 Cd 0.438 0.438 0.000
4 Cu 0.251 0.751 0.500